Below is a relaxed Cd4Pt5 crystal, with properties calculated at the PBE level.

Cell and atoms, written as POSCAR:
```
Cd4Pt5
1.0
8.716 0.000 0.000
0.000 8.716 0.000
4.358 4.358 2.077
Cd Pt
4 5
Cartesian
0.000 2.768 0.000
0.000 5.948 0.000
2.768 0.000 0.000
5.948 0.000 0.000
0.000 0.000 0.000
2.918 2.918 0.000
2.918 5.798 0.000
5.798 2.918 0.000
5.798 5.798 0.000
```

The calculation puts the excess energy over the best structure of this formula in the dataset at 0 kJ/mol of formula units. For the formation energy, the calculation gives -230.9 meV/atom. As for the total moment: 0.000 μB/atom.

Below is a relaxed Cd15Pt crystal, with properties calculated at the PBE level.

Cell and atoms, written as POSCAR:
```
Cd15Pt
1.0
6.137 0.000 0.000
-3.069 5.315 0.000
0.000 0.000 10.460
Cd Pt
15 1
Cartesian
0.000 0.000 5.230
-1.502 2.676 0.000
4.579 2.644 5.230
0.000 5.278 0.000
3.069 0.027 5.230
1.502 2.676 0.000
1.558 2.644 5.230
4.625 0.873 2.483
4.625 0.873 7.977
3.069 3.569 2.483
3.069 3.569 7.977
1.512 0.873 2.483
1.512 0.873 7.977
0.000 3.543 2.699
0.000 3.543 7.761
0.000 0.000 0.000
```

For the formation energy, the calculation gives -47.2 meV/atom. As for the total moment: 0.000 μB/atom.

Below is a relaxed CdPt4 crystal, with properties calculated at the PBE level.

Cell and atoms, written as POSCAR:
```
CdPt4
1.0
-3.748 -1.864 0.884
2.588 -3.567 3.452
-0.372 7.128 3.104
Cd Pt
2 8
Cartesian
-3.277 3.462 3.764
1.745 -1.765 3.676
0.447 0.033 1.968
-1.979 1.664 5.472
-1.874 -0.932 0.442
-0.580 -2.715 2.168
-2.224 0.754 2.515
0.692 0.943 4.925
-0.563 2.672 3.251
-0.969 -0.975 4.189
```

The calculation puts the excess energy over the best structure of this formula in the dataset at 10 kJ/mol of formula units. For the formation energy, the calculation gives -110.0 meV/atom. As for the total moment: 0.000 μB/atom.

Below is a relaxed Cd2Pt crystal, with properties calculated at the PBE level.

Cell and atoms, written as POSCAR:
```
Cd2Pt
1.0
1.548 5.276 0.067
-1.548 5.276 0.067
0.000 2.263 6.978
Cd Pt
4 2
Cartesian
0.000 1.751 4.804
0.000 8.978 6.686
0.000 3.837 0.425
0.000 11.064 2.307
0.000 8.187 2.681
0.000 4.627 4.430
```

For the formation energy, the calculation gives -160.3 meV/atom. As for the total moment: 0.000 μB/atom.

Below is a relaxed CdPt2 crystal, with properties calculated at the PBE level.

Cell and atoms, written as POSCAR:
```
CdPt2
1.0
-3.430 -2.513 -1.668
3.744 -2.580 2.440
-2.576 0.525 4.509
Cd Pt
2 4
Cartesian
-1.610 -1.253 5.199
-1.882 -3.065 2.233
1.088 -3.431 2.931
-3.691 -1.067 2.946
-1.085 -0.247 2.604
-0.038 -4.553 0.682
```

For the formation energy, the calculation gives -194.2 meV/atom. As for the total moment: 0.000 μB/atom.

Below is a relaxed Cd2Pt3 crystal, with properties calculated at the PBE level.

Cell and atoms, written as POSCAR:
```
Cd2Pt3
1.0
-0.095 2.758 2.852
4.155 -3.589 3.609
5.088 3.072 -2.802
Cd Pt
4 6
Cartesian
7.397 1.620 1.440
3.945 3.140 -0.145
5.203 -0.899 3.804
1.751 0.621 2.219
5.723 1.005 -0.783
6.354 -1.022 1.199
3.520 -1.523 1.590
2.888 0.505 -0.392
4.574 1.121 1.829
0.000 0.000 0.000
```

The calculation puts the excess energy over the best structure of this formula in the dataset at 0 kJ/mol of formula units. For the formation energy, the calculation gives -258.7 meV/atom. As for the total moment: 0.000 μB/atom.

Below is a relaxed Cd2Pt crystal, with properties calculated at the PBE level.

Cell and atoms, written as POSCAR:
```
Cd2Pt
1.0
1.502 -7.818 0.000
1.502 7.818 0.000
0.000 0.000 4.892
Cd Pt
4 2
Cartesian
1.502 -5.813 3.669
1.502 5.813 1.223
1.502 0.932 1.223
1.502 -0.932 3.669
1.502 4.417 3.669
1.502 -4.417 1.223
```

For the formation energy, the calculation gives -101.8 meV/atom. As for the total moment: 0.000 μB/atom.

Below is a relaxed Cd3Pt5 crystal, with properties calculated at the PBE level.

Cell and atoms, written as POSCAR:
```
Cd3Pt5
1.0
7.947 0.000 0.000
-3.973 6.882 0.000
0.000 0.000 5.278
Pt Cd
10 6
Cartesian
-0.809 1.401 1.319
-3.164 5.481 3.958
1.618 0.000 1.319
0.809 1.401 3.958
0.000 4.588 0.000
0.000 4.588 2.639
3.973 2.294 0.000
3.973 2.294 2.639
6.329 0.000 3.958
3.164 5.481 1.319
-1.600 2.770 3.958
-2.374 4.112 1.319
3.199 0.000 3.958
1.599 2.771 1.319
4.747 0.000 1.319
2.374 4.112 3.958
```

The calculation puts the excess energy over the best structure of this formula in the dataset at 208 kJ/mol of formula units. For the formation energy, the calculation gives 10.4 meV/atom. As for the total moment: 0.000 μB/atom.

Below is a relaxed CdPt3 crystal, with properties calculated at the PBE level.

Cell and atoms, written as POSCAR:
```
CdPt3
1.0
5.055 0.000 0.000
0.000 5.055 0.000
0.000 0.000 5.055
Pt Cd
3 1
Cartesian
0.000 0.000 2.528
0.000 2.528 0.000
2.528 0.000 0.000
0.000 0.000 0.000
```

For the formation energy, the calculation gives 1879.8 meV/atom. As for the total moment: 0.085 μB/atom.

Below is a relaxed Cd2Pt3 crystal, with properties calculated at the PBE level.

Cell and atoms, written as POSCAR:
```
Cd2Pt3
1.0
2.895 0.000 -0.384
-0.051 2.895 -0.384
-0.114 -0.116 10.236
Cd Pt
2 3
Cartesian
2.466 2.509 7.474
0.265 0.269 1.994
1.950 1.985 3.592
0.780 0.794 5.875
1.422 1.447 -0.384
```

The calculation puts the excess energy over the best structure of this formula in the dataset at 6 kJ/mol of formula units. For the formation energy, the calculation gives -246.2 meV/atom. As for the total moment: 0.000 μB/atom.

Below is a relaxed Cd2Pt13 crystal, with properties calculated at the PBE level.

Cell and atoms, written as POSCAR:
```
Cd2Pt13
1.0
-0.828 -7.231 0.240
1.423 -3.626 6.153
-6.076 -2.837 4.043
Cd Pt
2 13
Cartesian
-1.306 -3.431 2.589
-4.175 -10.262 7.846
-2.741 -6.846 5.217
-0.233 -7.105 6.083
-0.761 -5.761 3.802
-1.068 -8.442 3.890
-4.414 -5.251 6.544
-5.249 -6.588 4.352
-4.721 -7.932 6.633
-2.691 -6.760 8.010
-3.600 -4.443 4.080
-4.130 -9.062 4.233
-1.352 -4.631 6.202
-2.790 -6.933 2.425
-1.881 -9.250 6.355
```

For the formation energy, the calculation gives 346.8 meV/atom. As for the total moment: 0.000 μB/atom.

Below is a relaxed CdPt3 crystal, with properties calculated at the PBE level.

Cell and atoms, written as POSCAR:
```
CdPt3
1.0
4.040 0.000 0.000
0.000 4.040 0.000
0.000 0.000 4.040
Pt Cd
3 1
Cartesian
0.000 2.020 2.020
2.020 0.000 2.020
2.020 2.020 0.000
0.000 0.000 0.000
```

For the formation energy, the calculation gives -186.4 meV/atom. As for the total moment: 0.000 μB/atom.

- Which of these has the highest total moment?
  number 9

- Look up the total moment of the first one.
  0.000 μB/atom

- Number 6 is which compound?
  Cd2Pt3

- Which of these has the highest total moment?
  number 9